Entry from Alexandria: an optimized crystal structure of DyErMgNi (PBE-GGA).

Results
formation enthalpy at 0 K: -0.26 eV per atom
calculated volume: 92 Å³ per cell
DOS(E_F): 0.5440 states/eV per atom
energy relative to the lowest polymorph listed for this composition: 0.000 eV per atom
final energy: -4.396 eV per atom
size of the total moment: 0.00 μB per atom

Cell lengths 3.4270, 3.4270, 7.8729 Å; angles 90.00, 90.00, 90.00 degrees
Closest atoms and distances in Å follow each position.
Space group P4mm (No. 99)
Inequivalent atoms, fractional coordinates:
Dy 0.0000 0.0000 0.0000 x1  4 Ni 2.92, 1 Er 3.19
Er 0.0000 0.0000 0.4052 x1  4 Ni 2.88, 1 Dy 3.19
Mg 0.5000 0.5000 0.7004 x1  4 Er 3.36, 4 Dy 3.38, 4 Mg 3.43
Ni 0.5000 0.5000 0.2065 x1  4 Er 2.88, 4 Dy 2.92